(1)
Compound: RbMg2RuS
Source: Alexandria via LeMat-Bulk
Functional: PBEsol
Structure: optimized geometry

Output
SG ... No. 123
ΔE_f (raw) ... 1.92 eV per atom

Lattice parameters (Å, degrees): 5.2801 5.6098 5.6098 90.00 90.00 90.00
With the nearest neighbours (Å) after each atom.
Atoms (fractional coordinates):
Ru  0.5000  0.5000  0.5000  8 Mg 3.85, 4 S 3.97
S  0.5000  0.0000  0.0000  2 Rb 2.64
Mg  0.0000  0.5000  0.0000  2 Rb 2.80
Mg  0.0000  0.0000  0.5000  2 Rb 2.80
Rb  0.0000  0.0000  0.0000  2 S 2.64, 4 Mg 2.80

(2)
Compound: CaCoSn3
Source: Alexandria via LeMat-Bulk
Functional: PBEsol
Structure: optimized geometry

Output
SG ... No. 221
Formation energy ... -0.14 eV per atom

Lattice parameters (Å, degrees): 4.9266 4.9266 4.9266 90.00 90.00 90.00
With the nearest neighbours (Å) after each atom.
Atoms (fractional coordinates):
Co  0.0000  0.0000  0.0000  6 Sn 2.46
Sn  0.5000  0.0000  0.0000  2 Co 2.46
Sn  0.0000  0.0000  0.5000  2 Co 2.46
Sn  0.0000  0.5000  0.0000  2 Co 2.46
Ca  0.5000  0.5000  0.5000  12 Sn 3.48

(3)
Compound: ScNbGe2H
Source: Alexandria via LeMat-Bulk
Functional: PBEsol
Structure: optimized geometry

Output
SG ... No. 123
Final energy ... -5.257 eV/atom

Lattice parameters (Å, degrees): 4.9080 4.9080 5.0327 90.00 90.00 90.00
With the nearest neighbours (Å) after each atom.
Atoms (fractional coordinates):
H  0.5000  0.5000  0.5000  4 Sc 3.47, 8 Ge 3.51
Nb  0.0000  0.0000  0.0000  4 Ge 2.45, 2 Sc 2.52
Ge  0.0000  0.5000  0.0000  2 Nb 2.45
Ge  0.5000  0.0000  0.0000  2 Nb 2.45
Sc  0.0000  0.0000  0.5000  2 Nb 2.52

(4)
Compound: YSi2Rh3
Source: Alexandria via LeMat-Bulk
Functional: PBEsol
Structure: optimized geometry

Output
SG ... No. 74
ΔE_f (raw) ... -1.11 eV per atom

Lattice parameters (Å, degrees): 5.4805 6.5380 6.5380 66.05 65.22 65.22
With the nearest neighbours (Å) after each atom.
Atoms (fractional coordinates):
Si  0.8836  0.9208  0.9208  6 Rh 2.39-2.43, 1 Si 2.62
Si  0.2253  0.5792  0.5792  6 Rh 2.39-2.43, 1 Si 2.62
Si  0.1164  0.0792  0.0792  6 Rh 2.39-2.43, 1 Si 2.62
Si  0.7747  0.4208  0.4208  6 Rh 2.39-2.43, 1 Si 2.62
Rh  0.5000  0.2154  0.7846  4 Si 2.39-2.41
Rh  0.0000  0.7154  0.2846  4 Si 2.39-2.41
Rh  0.0000  0.5000  0.0000  4 Si 2.43
Rh  0.5000  0.7846  0.2154  4 Si 2.39-2.41
Rh  0.0000  0.0000  0.5000  4 Si 2.43
Rh  0.0000  0.2846  0.7154  4 Si 2.39-2.41
Y  0.4602  0.2500  0.2500  6 Rh 3.05-3.09, 6 Si 3.12-3.25
Y  0.5398  0.7500  0.7500  6 Rh 3.05-3.09, 6 Si 3.12-3.25

(5)
Compound: Mg2Si
Source: Alexandria via LeMat-Bulk
Functional: PBEsol
Structure: optimized geometry

Output
SG ... No. 129
ΔE_f (raw) ... -0.08 eV per atom

Lattice parameters (Å, degrees): 4.1383 4.1383 6.9133 90.00 90.00 90.00
With the nearest neighbours (Å) after each atom.
Atoms (fractional coordinates):
Si  0.5000  0.0000  0.7446  5 Mg 2.67-2.72
Si  0.0000  0.5000  0.2554  5 Mg 2.67-2.72
Mg  0.5000  0.0000  0.3580  1 Si 2.67
Mg  0.0000  0.0000  0.0000  4 Si 2.72, 4 Mg 2.93
Mg  0.5000  0.5000  0.0000  4 Si 2.72, 4 Mg 2.93
Mg  0.0000  0.5000  0.6420  1 Si 2.67

(6)
Compound: LiLa2
Source: Alexandria via LeMat-Bulk
Functional: PBEsol
Structure: optimized geometry

Output
SG ... No. 140
Formation energy ... 0.11 eV per atom

Lattice parameters (Å, degrees): 5.2791 6.3466 6.3466 80.04 65.42 65.42
With the nearest neighbours (Å) after each atom.
Atoms (fractional coordinates):
La  0.3522  0.7956  0.5000  4 Li 3.39, 7 La 3.41-3.58
La  0.6478  0.2044  0.5000  4 Li 3.39, 7 La 3.41-3.58
La  0.1478  0.5000  0.2044  4 Li 3.39, 7 La 3.41-3.58
La  0.8522  0.5000  0.7956  4 Li 3.39, 7 La 3.41-3.58
Li  0.7500  0.0000  0.0000  2 Li 2.64
Li  0.2500  0.0000  0.0000  2 Li 2.64

(7)
Compound: POs2Cl
Source: Alexandria via LeMat-Bulk
Functional: PBEsol
Structure: optimized geometry

Output
SG ... No. 123
ΔE_f (raw) ... 0.55 eV per atom

Lattice parameters (Å, degrees): 2.9036 2.9036 6.7110 90.00 90.00 90.00
With the nearest neighbours (Å) after each atom.
Atoms (fractional coordinates):
Os  0.0000  0.0000  0.8030  4 P 2.44, 1 Os 2.64
Os  0.0000  0.0000  0.1970  4 P 2.44, 1 Os 2.64
P  0.5000  0.5000  0.0000  8 Os 2.44
Cl  0.5000  0.5000  0.5000  8 Os 2.89, 4 Cl 2.90

(8)
Compound: La2Nb3S2O8
Source: Alexandria via LeMat-Bulk
Functional: PBEsol
Structure: optimized geometry

Output
SG ... No. 58
ΔE_f (raw) ... -2.67 eV per atom

Lattice parameters (Å, degrees): 7.6390 9.8797 11.7826 90.00 90.00 90.00
With the nearest neighbours (Å) after each atom.
Atoms (fractional coordinates):
O  0.2346  0.8017  0.0264  2 Nb 1.99-2.10
O  0.2654  0.6983  0.5264  2 Nb 1.99-2.10
O  0.7654  0.8017  0.0264  2 Nb 1.99-2.10
O  0.2568  0.5563  0.1053  1 Nb 1.92
O  0.2432  0.0563  0.3947  1 Nb 1.92
O  0.2346  0.1983  0.9736  2 Nb 1.99-2.10
O  0.0000  0.1513  0.5488  2 Nb 1.96
O  0.2568  0.4437  0.8947  1 Nb 1.92
O  0.2492  0.2852  0.2272  1 Nb 1.85
O  0.2508  0.2148  0.7272  1 Nb 1.85
O  0.7492  0.7852  0.2728  1 Nb 1.85
O  0.5000  0.3487  0.0488  2 Nb 1.96
O  0.7492  0.2148  0.7272  1 Nb 1.85
O  0.0000  0.8487  0.4512  2 Nb 1.96
O  0.2432  0.9437  0.6053  1 Nb 1.92
O  0.5000  0.1326  0.5507  2 Nb 1.95
O  0.7432  0.4437  0.8947  1 Nb 1.92
O  0.7346  0.6983  0.5264  2 Nb 1.99-2.10
O  0.2654  0.3017  0.4736  2 Nb 1.99-2.10
O  0.7568  0.9437  0.6053  1 Nb 1.92
O  0.7508  0.7148  0.7728  1 Nb 1.85
O  0.2508  0.7852  0.2728  1 Nb 1.85
O  0.5000  0.6513  0.9512  2 Nb 1.96
O  0.7346  0.3017  0.4736  2 Nb 1.99-2.10
O  0.0000  0.3674  0.0507  2 Nb 1.95
O  0.7654  0.1983  0.9736  2 Nb 1.99-2.10
O  0.7508  0.2852  0.2272  1 Nb 1.85
O  0.5000  0.8674  0.4493  2 Nb 1.95
O  0.7568  0.0563  0.3947  1 Nb 1.92
O  0.2492  0.7148  0.7728  1 Nb 1.85
O  0.7432  0.5563  0.1053  1 Nb 1.92
O  0.0000  0.6327  0.9493  2 Nb 1.95
S  0.0000  0.4791  0.6332  2 Nb 2.71, 1 La 2.87
S  0.5000  0.5189  0.3444  2 Nb 2.45
S  0.0000  0.9811  0.8444  2 Nb 2.45
S  0.5000  0.0209  0.1332  2 Nb 2.71, 1 La 2.87
S  0.5000  0.9791  0.8668  2 Nb 2.71, 1 La 2.87
S  0.0000  0.0189  0.1556  2 Nb 2.45
S  0.5000  0.4811  0.6556  2 Nb 2.45
S  0.0000  0.5209  0.3668  2 Nb 2.71, 1 La 2.87
La  0.5000  0.7306  0.1501  7 O 2.45-2.59
La  0.0000  0.7694  0.6501  7 O 2.45-2.59
La  0.5000  0.2061  0.3400  7 O 2.46-2.59
La  0.5000  0.7939  0.6600  7 O 2.46-2.59
La  0.0000  0.2306  0.3499  7 O 2.45-2.59
La  0.0000  0.2939  0.8400  7 O 2.46-2.59
La  0.0000  0.7061  0.1600  7 O 2.46-2.59
La  0.5000  0.2694  0.8499  7 O 2.45-2.59
Nb  0.7502  0.1360  0.5851  4 O 1.85-1.96
Nb  0.2502  0.6360  0.9149  4 O 1.85-1.96
Nb  0.7879  0.0000  0.0000  2 O 1.99
Nb  0.7121  0.5000  0.5000  2 O 1.99
Nb  0.7498  0.3640  0.0851  4 O 1.85-1.96
Nb  0.7502  0.8640  0.4149  4 O 1.85-1.96
Nb  0.2121  0.0000  0.0000  2 O 1.99
Nb  0.2879  0.5000  0.5000  2 O 1.99
Nb  0.2498  0.8640  0.4149  4 O 1.85-1.96
Nb  0.2498  0.1360  0.5851  4 O 1.85-1.96
Nb  0.7498  0.6360  0.9149  4 O 1.85-1.96
Nb  0.2502  0.3640  0.0851  4 O 1.85-1.96

Please write out number 7 again, unchanged.
Compound: POs2Cl
Source: Alexandria via LeMat-Bulk
Functional: PBEsol
Structure: optimized geometry

Output
SG ... No. 123
ΔE_f (raw) ... 0.55 eV per atom

Lattice parameters (Å, degrees): 2.9036 2.9036 6.7110 90.00 90.00 90.00
With the nearest neighbours (Å) after each atom.
Atoms (fractional coordinates):
Os  0.0000  0.0000  0.8030  4 P 2.44, 1 Os 2.64
Os  0.0000  0.0000  0.1970  4 P 2.44, 1 Os 2.64
P  0.5000  0.5000  0.0000  8 Os 2.44
Cl  0.5000  0.5000  0.5000  8 Os 2.89, 4 Cl 2.90